# 1
First-principles (PBE) data for PaTeSe2 after structural relaxation, as listed in the Alexandria database.

The structure in POSCAR format:
```
PaTeSe2
1.0
2.0783 -5.7035 0.0000
2.0783 5.7035 0.0000
0.0000 0.0000 8.6993
Pa Te Se
2 2 4
Direct
0.2304 0.7696 0.7500
0.7696 0.2304 0.2500
0.0634 0.9366 0.2500
0.9366 0.0634 0.7500
0.3585 0.6415 0.0525
0.3585 0.6415 0.4475
0.6415 0.3585 0.5525
0.6415 0.3585 0.9475
```

Results
* SG: Cmcm
* raw formation energy: -3.79 eV per formula unit
* relative energy among the computed polymorphs: 0.0 meV/atom
* V: 25.78 Å³ per atom


# 2
First-principles (PBE) data for SrVAu after structural relaxation, as listed in the Alexandria database.

The structure in POSCAR format:
```
SrVAu
1.0
4.3156 0.0000 0.0000
2.0391 5.7741 0.0000
0.6120 2.5844 6.4256
Sr V Au
2 2 2
Direct
0.1276 0.3146 0.3013
0.8724 0.6854 0.6987
0.1886 0.0189 0.9323
0.8114 0.9811 0.0677
0.4113 0.7305 0.3244
0.5887 0.2695 0.6756
```

Results
* SG: P-1
* relative energy among the computed polymorphs: 0.0 meV/atom
* calculated formation energy: -9 kJ/mol of formula units
* V: 26.69 Å³ per atom


# 3
First-principles (PBE) data for Ba2Sn4Rh3Au after structural relaxation, as listed in the Alexandria database.

The structure in POSCAR format:
```
Ba2Sn4Rh3Au
1.0
4.8049 0.0000 0.0000
0.0000 4.8049 0.0000
0.0000 0.0000 10.6646
Ba Sn Rh Au
2 4 3 1
Direct
0.0000 0.5000 0.2455
0.5000 0.0000 0.7545
0.0000 0.0000 0.5000
0.0000 0.5000 0.8726
0.5000 0.0000 0.1274
0.5000 0.5000 0.5000
0.0000 0.0000 0.0000
0.0000 0.5000 0.6204
0.5000 0.0000 0.3796
0.5000 0.5000 0.0000
```

Results
* SG: P-4m2
* calculated formation energy: -547 kJ/mol of formula units
* V: 24.62 Å³ per atom


# 4
First-principles (PBE) data for AcSn6Ir4 after structural relaxation, as listed in the Alexandria database.

The structure in POSCAR format:
```
AcSn6Ir4
1.0
7.9735 0.0000 0.0000
-3.9867 6.9052 0.0000
0.0000 0.0000 4.2237
Ac Sn Ir
1 6 4
Direct
0.0000 0.0000 0.0000
0.1944 0.3887 0.5000
0.1944 0.8056 0.5000
0.5330 0.0660 0.0000
0.5330 0.4670 0.0000
0.6113 0.8056 0.5000
0.9340 0.4670 0.0000
0.3333 0.6667 0.0000
0.4115 0.2058 0.5000
0.7942 0.2058 0.5000
0.7942 0.5885 0.5000
```

Results
* SG: P-6m2
* calculated formation energy: -421 kJ/mol of formula units
* V: 21.14 Å³ per atom


# 5
First-principles (PBE) data for ScBe2Cr after structural relaxation, as listed in the Alexandria database.

The structure in POSCAR format:
```
ScBe2Cr
1.0
0.0000 3.0249 3.0249
3.0249 0.0000 3.0249
3.0249 3.0249 0.0000
Sc Be Cr
1 2 1
Direct
0.0000 0.0000 0.0000
0.2500 0.2500 0.2500
0.5000 0.5000 0.5000
0.7500 0.7500 0.7500
```

Results
* SG: F-43m
* relative energy among the computed polymorphs: 294.0 meV/atom
* calculated formation energy: 130 kJ/mol of formula units
* V: 13.84 Å³ per atom


# 6
First-principles (PBE) data for LaAgMo after structural relaxation, as listed in the Alexandria database.

The structure in POSCAR format:
```
LaAgMo
1.0
0.0000 3.3651 3.3651
3.3651 0.0000 3.3651
3.3651 3.3651 0.0000
La Ag Mo
1 1 1
Direct
0.0000 0.0000 0.0000
0.5000 0.5000 0.5000
0.7500 0.7500 0.7500
```

Results
* SG: F-43m
* relative energy among the computed polymorphs: 367.6 meV/atom
* calculated formation energy: 249 kJ/mol of formula units
* V: 25.40 Å³ per atom


# 7
First-principles (PBE) data for AlFeH after structural relaxation, as listed in the Alexandria database.

The structure in POSCAR format:
```
AlFeH
1.0
2.8516 0.0000 0.0000
-1.4258 2.4696 0.0000
0.0000 0.0000 3.8549
Al Fe H
1 1 1
Direct
0.0000 0.0000 0.0000
0.6667 0.3333 0.4875
0.3333 0.6667 0.6079
```

Results
* SG: P3m1
* relative energy among the computed polymorphs: 0.0 meV/atom
* V: 9.05 Å³ per atom


# 8
First-principles (PBE) data for Ce2Pu2Os3 after structural relaxation, as listed in the Alexandria database.

The structure in POSCAR format:
```
Ce2Pu2Os3
1.0
4.0776 -2.3627 0.0000
4.0776 2.3627 0.0000
-2.7390 0.0000 8.0776
Ce Pu Os
2 2 3
Direct
0.1268 0.1268 0.3785
0.8732 0.8732 0.6215
0.3771 0.3771 0.1315
0.6229 0.6229 0.8685
0.0000 0.0000 0.0000
0.2531 0.2531 0.7627
0.7469 0.7469 0.2373
```

Results
* SG: C2/m
* calculated formation energy: -34 kJ/mol of formula units
* V: 22.23 Å³ per atom


# 9
First-principles (PBE) data for LiZrCdHg after structural relaxation, as listed in the Alexandria database.

The structure in POSCAR format:
```
LiZrCdHg
1.0
3.2600 0.0000 0.0000
0.0000 3.2600 0.0000
0.0000 0.0000 7.4327
Li Zr Cd Hg
1 1 1 1
Direct
0.0000 0.0000 0.0000
0.0000 0.0000 0.4906
0.5000 0.5000 0.7718
0.5000 0.5000 0.2161
```

Results
* SG: P4mm
* calculated formation energy: -80 kJ/mol of formula units
* V: 19.75 Å³ per atom


Number 1: energy -5.850 eV per atom. Number 2: energy -4.723 eV per atom. Number 3: energy -5.086 eV per atom. Number 4: energy -6.176 eV per atom. Number 5: energy -5.514 eV per atom. Number 6: energy -5.341 eV per atom. Number 7: energy -5.315 eV per atom. Number 8: energy -10.654 eV per atom. Number 9: energy -3.128 eV per atom.